Arrangement w

This record from the Alexandria database describes a relaxed structure of BeBiPt2. The functional is PBE-GGA.

Fermi-level density of states	3.505	states/eV per cell
mass density	12.184	Mg/m³
total magnetization	0.000	μB per formula unit

Cell lengths 7.6361, 7.6361, 7.6361 Å; angles 142.25, 142.25, 54.46 degrees
With the nearest neighbours (Å) after each atom.
Element x y z (fractional)
Be (0.0000, 0.0000, 0.0000)  4 Pt 2.20
Be (0.7500, 0.2500, 0.5000)  4 Pt 2.20
Bi (0.2500, 0.7500, 0.5000)  4 Pt 2.77
Bi (0.5000, 0.5000, 0.0000)  4 Pt 2.77
Pt (0.0093, 0.6250, 0.8843)  2 Be 2.20
Pt (0.3750, 0.2593, 0.3843)  2 Be 2.20
Pt (0.7407, 0.1250, 0.1157)  2 Be 2.20
Pt (0.8750, 0.9907, 0.6157)  2 Be 2.20


Arrangement x

This record from the Alexandria database describes a relaxed structure of BeBiPt2. The functional is PBE-GGA.

Fermi-level density of states	0.828	states/eV per cell
mass density	14.603	Mg/m³
total magnetization	0.000	μB per formula unit

Cell lengths 4.6073, 4.6073, 4.6073 Å; angles 60.00, 60.00, 60.00 degrees
With the nearest neighbours (Å) after each atom.
Element x y z (fractional)
Be (0.0000, 0.0000, 0.0000)  8 Pt 2.82
Bi (0.5000, 0.5000, 0.5000)  8 Pt 2.82
Pt (0.2500, 0.2500, 0.2500)  4 Bi 2.82, 4 Be 2.82
Pt (0.7500, 0.7500, 0.7500)  4 Bi 2.82, 4 Be 2.82


arrangement w has the most favorable energy; the next structure is 100 meV/atom above.


Arrangement w

This record from the Alexandria database describes a relaxed structure of Rb2BeBi. The functional is PBE-GGA.

Fermi-level density of states	6.538	states/eV per cell
mass density	4.012	Mg/m³
total magnetization	0.000	μB per formula unit

Cell lengths 6.1058, 6.1058, 6.1058 Å; angles 60.00, 60.00, 60.00 degrees
With the nearest neighbours (Å) after each atom.
Element x y z (fractional)
Rb (0.2500, 0.2500, 0.2500)  4 Bi 3.74, 4 Be 3.74
Rb (0.7500, 0.7500, 0.7500)  4 Bi 3.74, 4 Be 3.74
Be (0.0000, 0.0000, 0.0000)  8 Rb 3.74
Bi (0.5000, 0.5000, 0.5000)  8 Rb 3.74


Arrangement x

This record from the Alexandria database describes a relaxed structure of Rb2BeBi. The functional is PBE-GGA.

Fermi-level density of states	5.931	states/eV per cell
mass density	2.840	Mg/m³
total magnetization	0.000	μB per formula unit

Cell lengths 9.9593, 9.9593, 9.9593 Å; angles 93.44, 93.44, 151.65 degrees
With the nearest neighbours (Å) after each atom.
Element x y z (fractional)
Rb (0.3750, 0.1583, 0.2833)  2 Be 3.50, 2 Bi 3.90
Rb (0.8417, 0.1250, 0.2167)  2 Be 3.50, 2 Bi 3.90
Rb (0.8750, 0.0917, 0.7167)  2 Be 3.50, 2 Bi 3.90
Rb (0.9083, 0.6250, 0.7833)  2 Be 3.50, 2 Bi 3.90
Be (0.0000, 0.0000, 0.0000)  2 Bi 2.44
Be (0.7500, 0.2500, 0.5000)  2 Bi 2.44
Bi (0.2500, 0.7500, 0.5000)  2 Be 2.44
Bi (0.5000, 0.5000, 0.0000)  2 Be 2.44


arrangement x has the most favorable energy; the next structure is 365 meV/atom above.


Arrangement w

This record from the Alexandria database describes a relaxed structure of RbBe3Bi. The functional is PBE-GGA.

Fermi-level density of states	2.771	states/eV per cell
mass density	3.672	Mg/m³
total magnetization	0.000	μB per formula unit

Cell lengths 5.2581, 5.2581, 5.2581 Å; angles 90.00, 90.00, 90.00 degrees
With the nearest neighbours (Å) after each atom.
Element x y z (fractional)
Rb (0.0000, 0.0000, 0.0000)  12 Be 3.72
Be (0.0000, 0.5000, 0.5000)  2 Bi 2.63
Be (0.5000, 0.0000, 0.5000)  2 Bi 2.63
Be (0.5000, 0.5000, 0.0000)  2 Bi 2.63
Bi (0.5000, 0.5000, 0.5000)  6 Be 2.63


Arrangement x

This record from the Alexandria database describes a relaxed structure of RbBe3Bi. The functional is PBE-GGA.

Fermi-level density of states	3.869	states/eV per cell
mass density	3.855	Mg/m³
total magnetization	0.000	μB per formula unit

Cell lengths 5.1735, 5.1735, 5.1735 Å; angles 90.00, 90.00, 90.00 degrees
With the nearest neighbours (Å) after each atom.
Element x y z (fractional)
Rb (0.0000, 0.0000, 0.0000)  6 Be 2.59
Be (0.0000, 0.0000, 0.5000)  2 Rb 2.59
Be (0.0000, 0.5000, 0.0000)  2 Rb 2.59
Be (0.5000, 0.0000, 0.0000)  2 Rb 2.59
Bi (0.5000, 0.5000, 0.5000)  12 Be 3.66


arrangement w has the most favorable energy; the next structure is 974 meV/atom above.


Arrangement w

This record from the Alexandria database describes a relaxed structure of BeRe2Bi2. The functional is PBE-GGA.

Fermi-level density of states	10.882	states/eV per cell
mass density	13.090	Mg/m³
total magnetization	0.033	μB per formula unit

Cell lengths 7.9477, 7.9477, 3.2107 Å; angles 90.00, 90.00, 90.00 degrees
With the nearest neighbours (Å) after each atom.
Element x y z (fractional)
Be (0.0000, 0.0000, 0.0000)  4 Bi 3.01, 2 Be 3.21
Be (0.5000, 0.5000, 0.0000)  4 Bi 3.01, 2 Be 3.21
Re (0.1464, 0.3536, 0.5000)  6 Bi 2.77-2.87
Re (0.3536, 0.8536, 0.5000)  6 Bi 2.77-2.87
Re (0.6464, 0.1464, 0.5000)  6 Bi 2.77-2.87
Re (0.8536, 0.6464, 0.5000)  6 Bi 2.77-2.87
Bi (0.1528, 0.6528, 0.0000)  6 Re 2.77-2.87, 2 Be 3.01
Bi (0.3472, 0.1528, 0.0000)  6 Re 2.77-2.87, 2 Be 3.01
Bi (0.6528, 0.8472, 0.0000)  6 Re 2.77-2.87, 2 Be 3.01
Bi (0.8472, 0.3472, 0.0000)  6 Re 2.77-2.87, 2 Be 3.01


Arrangement x

This record from the Alexandria database describes a relaxed structure of BeRe2Bi2. The functional is PBE-GGA.

Fermi-level density of states	3.541	states/eV per cell
mass density	12.075	Mg/m³
total magnetization	0.000	μB per formula unit

Cell lengths 8.8073, 8.8073, 8.8073 Å; angles 156.34, 156.34, 33.71 degrees
With the nearest neighbours (Å) after each atom.
Element x y z (fractional)
Be (0.0000, 0.0000, 0.0000)  8 Bi 3.11
Re (0.2500, 0.7500, 0.5000)  4 Re 2.55
Re (0.7500, 0.2500, 0.5000)  4 Re 2.55
Bi (0.3944, 0.3944, 0.0000)  4 Re 3.03, 4 Be 3.11
Bi (0.6056, 0.6056, 0.0000)  4 Re 3.03, 4 Be 3.11


arrangement x has the most favorable energy; the next structure is 572 meV/atom above.


Arrangement w

This record from the Alexandria database describes a relaxed structure of BeRe3Bi. The functional is PBE-GGA.

Fermi-level density of states	6.890	states/eV per cell
mass density	10.519	Mg/m³
total magnetization	2.930	μB per formula unit

Cell lengths 4.9678, 4.9678, 4.9678 Å; angles 90.00, 90.00, 90.00 degrees
With the nearest neighbours (Å) after each atom.
Element x y z (fractional)
Be (0.0000, 0.0000, 0.0000)  12 Re 3.51
Re (0.0000, 0.5000, 0.5000)  2 Bi 2.48
Re (0.5000, 0.0000, 0.5000)  2 Bi 2.48
Re (0.5000, 0.5000, 0.0000)  2 Bi 2.48
Bi (0.5000, 0.5000, 0.5000)  6 Re 2.48


Arrangement x

This record from the Alexandria database describes a relaxed structure of BeRe3Bi. The functional is PBE-GGA.

Fermi-level density of states	8.034	states/eV per cell
mass density	16.026	Mg/m³
total magnetization	2.470	μB per formula unit

Cell lengths 4.3173, 4.3173, 4.3173 Å; angles 90.00, 90.00, 90.00 degrees
With the nearest neighbours (Å) after each atom.
Element x y z (fractional)
Be (0.0000, 0.0000, 0.0000)  6 Re 2.16
Re (0.0000, 0.0000, 0.5000)  2 Be 2.16
Re (0.0000, 0.5000, 0.0000)  2 Be 2.16
Re (0.5000, 0.0000, 0.0000)  2 Be 2.16
Bi (0.5000, 0.5000, 0.5000)  12 Re 3.05


arrangement x has the most favorable energy; the next structure is 2378 meV/atom above.


Arrangement w

This record from the Alexandria database describes a relaxed structure of BeRe2Bi. The functional is PBE-GGA.

Fermi-level density of states	2.306	states/eV per cell
mass density	13.243	Mg/m³
total magnetization	0.000	μB per formula unit

Cell lengths 9.3862, 9.3862, 9.3862 Å; angles 154.95, 154.95, 35.72 degrees
With the nearest neighbours (Å) after each atom.
Element x y z (fractional)
Be (0.0000, 0.0000, 0.0000)  4 Re 2.54
Be (0.7500, 0.2500, 0.5000)  4 Re 2.54
Re (0.0367, 0.6250, 0.9117)  2 Re 2.42, 2 Be 2.54
Re (0.3750, 0.2867, 0.4117)  2 Re 2.42, 2 Be 2.54
Re (0.7133, 0.1250, 0.0883)  2 Re 2.42, 2 Be 2.54
Re (0.8750, 0.9633, 0.5883)  2 Re 2.42, 2 Be 2.54
Bi (0.2500, 0.7500, 0.5000)  4 Re 2.81, 4 Be 2.88
Bi (0.5000, 0.5000, 0.0000)  4 Re 2.81, 4 Be 2.88


Arrangement x

This record from the Alexandria database describes a relaxed structure of BeRe2Bi. The functional is PBE-GGA.

Fermi-level density of states	4.254	states/eV per cell
mass density	15.427	Mg/m³
total magnetization	0.000	μB per formula unit

Cell lengths 4.4793, 4.4793, 4.4793 Å; angles 60.00, 60.00, 60.00 degrees
With the nearest neighbours (Å) after each atom.
Element x y z (fractional)
Be (0.0000, 0.0000, 0.0000)  8 Re 2.74
Re (0.2500, 0.2500, 0.2500)  4 Bi 2.74, 4 Be 2.74
Re (0.7500, 0.7500, 0.7500)  4 Bi 2.74, 4 Be 2.74
Bi (0.5000, 0.5000, 0.5000)  8 Re 2.74


arrangement w has the most favorable energy; the next structure is 241 meV/atom above.